Here is a relaxed structure of RbLaCoF6 from Alexandria. Energies are from GGA+U.

Cell: 6.016 6.016 11.452 Å, 90.00 90.00 120.00°
Positions (direct):
Rb (0.000, 0.000, 0.000)
Rb (0.000, 0.000, 0.500)
La (0.333, 0.667, 0.250)
La (0.667, 0.333, 0.750)
Co (0.667, 0.333, 0.250)
Co (0.333, 0.667, 0.750)
F (0.642, 0.610, 0.151)
F (0.968, 0.358, 0.151)
F (0.358, 0.968, 0.651)
F (0.032, 0.642, 0.849)
F (0.390, 0.358, 0.349)
F (0.968, 0.610, 0.349)
F (0.610, 0.968, 0.849)
F (0.642, 0.032, 0.349)
F (0.032, 0.390, 0.651)
F (0.390, 0.032, 0.151)
F (0.610, 0.642, 0.651)
F (0.358, 0.390, 0.849)

## Properties
- total energy (eV/atom) = -5.6067
- DOS at the Fermi energy (states/eV/cell) = 0.00
- space-group type = No. 163